[1]
The following is a PBE calculation of a relaxed structure of ZnRe2Ge, from Alexandria via LeMat-Bulk.

Calculated values
Calculated volume (Å³ per cell): 229.8
M_tot (μB per formula unit): 0.000
ΔE to the lowest computed polymorph (eV/atom): 0.000
VASP energy (eV for the cell shown): -116.02
E_form (eV/atom): 0.45

abc: 6.125 6.125 6.125
angles: 90.00 90.00 90.00
Element x y z (fractional)
1 Zn 0.000 0.000 0.000
2 Zn 0.000 0.500 0.500
3 Zn 0.500 0.000 0.500
4 Zn 0.500 0.500 0.000
5 Re 0.250 0.250 0.250
6 Re 0.250 0.250 0.750
7 Re 0.250 0.750 0.250
8 Re 0.250 0.750 0.750
9 Re 0.750 0.250 0.250
10 Re 0.750 0.250 0.750
11 Re 0.750 0.750 0.250
12 Re 0.750 0.750 0.750
13 Ge 0.000 0.000 0.500
14 Ge 0.000 0.500 0.000
15 Ge 0.500 0.000 0.000
16 Ge 0.500 0.500 0.500

---

[2]
The following is a PBE calculation of a relaxed structure of Zr2ReGe, from Alexandria via LeMat-Bulk.

Calculated values
Calculated volume (Å³ per cell): 320.2
M_tot (μB per formula unit): 0.000
VASP energy (eV for the cell shown): -132.07
E_form (eV/atom): 0.29

abc: 7.481 7.481 5.721
angles: 90.00 90.00 90.00
Element x y z (fractional)
1 Zr 0.232 0.250 0.125
2 Zr 0.250 0.732 0.375
3 Zr 0.250 0.768 0.875
4 Zr 0.268 0.250 0.625
5 Zr 0.732 0.750 0.625
6 Zr 0.750 0.232 0.875
7 Zr 0.750 0.268 0.375
8 Zr 0.768 0.750 0.125
9 Re 0.000 0.000 0.000
10 Re 0.000 0.500 0.250
11 Re 0.500 0.000 0.750
12 Re 0.500 0.500 0.500
13 Ge 0.000 0.000 0.500
14 Ge 0.000 0.500 0.750
15 Ge 0.500 0.000 0.250
16 Ge 0.500 0.500 0.000

---

[3]
The following is a PBE calculation of a relaxed structure of ZrRe3Ge, from Alexandria via LeMat-Bulk.

Calculated values
Calculated volume (Å³ per cell): 113.6
M_tot (μB per formula unit): 2.712
ΔE to the lowest computed polymorph (eV/atom): 1.512
VASP energy (eV for the cell shown): -37.24
E_form (eV/atom): 2.65

abc: 4.843 4.843 4.843
angles: 90.00 90.00 90.00
Element x y z (fractional)
1 Zr 0.000 0.000 0.000
2 Re 0.000 0.000 0.500
3 Re 0.000 0.500 0.000
4 Re 0.500 0.000 0.000
5 Ge 0.500 0.500 0.500

---

[4]
The following is a PBE calculation of a relaxed structure of ZrRe2Ge2, from Alexandria via LeMat-Bulk.

Calculated values
Calculated volume (Å³ per cell): 162.7
M_tot (μB per formula unit): 0.000
VASP energy (eV for the cell shown): -85.30
E_form (eV/atom): 0.01

abc: 7.365 7.365 2.999
angles: 90.00 90.00 90.00
Element x y z (fractional)
1 Zr 0.000 0.000 0.000
2 Zr 0.500 0.500 0.000
3 Re 0.145 0.355 0.500
4 Re 0.355 0.855 0.500
5 Re 0.645 0.145 0.500
6 Re 0.855 0.645 0.500
7 Ge 0.149 0.649 0.000
8 Ge 0.351 0.149 0.000
9 Ge 0.649 0.851 0.000
10 Ge 0.851 0.351 0.000

---

[5]
The following is a PBE calculation of a relaxed structure of ZrRe3Ge, from Alexandria via LeMat-Bulk.

Calculated values
Calculated volume (Å³ per cell): 94.4
M_tot (μB per formula unit): 1.317
ΔE to the lowest computed polymorph (eV/atom): 0.000
VASP energy (eV for the cell shown): -44.80
E_form (eV/atom): 1.14

abc: 4.553 4.553 4.553
angles: 90.00 90.00 90.00
Element x y z (fractional)
1 Zr 0.000 0.000 0.000
2 Re 0.000 0.500 0.500
3 Re 0.500 0.000 0.500
4 Re 0.500 0.500 0.000
5 Ge 0.500 0.500 0.500

---

[6]
The following is a PBE calculation of a relaxed structure of ZrReGe, from Alexandria via LeMat-Bulk.

Calculated values
Calculated volume (Å³ per cell): 315.6
M_tot (μB per formula unit): 0.000
ΔE to the lowest computed polymorph (eV/atom): 0.000
VASP energy (eV for the cell shown): -160.79
E_form (eV/atom): -0.40

abc: 11.770 3.922 6.835
angles: 90.00 90.00 90.00
Element x y z (fractional)
1 Zr 0.049 0.000 0.241
2 Zr 0.250 0.000 0.862
3 Zr 0.451 0.000 0.241
4 Zr 0.549 0.000 0.759
5 Zr 0.750 0.000 0.138
6 Zr 0.951 0.000 0.759
7 Re 0.102 0.500 0.548
8 Re 0.250 0.500 0.211
9 Re 0.398 0.500 0.548
10 Re 0.602 0.500 0.452
11 Re 0.750 0.500 0.789
12 Re 0.898 0.500 0.452
13 Ge 0.099 0.500 0.933
14 Ge 0.250 0.000 0.463
15 Ge 0.401 0.500 0.933
16 Ge 0.599 0.500 0.067
17 Ge 0.750 0.000 0.537
18 Ge 0.901 0.500 0.067

---

[7]
The following is a PBE calculation of a relaxed structure of Zr2ReGe2, from Alexandria via LeMat-Bulk.

Calculated values
Calculated volume (Å³ per cell): 177.6
M_tot (μB per formula unit): 0.000
VASP energy (eV for the cell shown): -83.50
E_form (eV/atom): -0.59

abc: 6.709 6.709 3.946
angles: 90.00 90.00 90.00
Element x y z (fractional)
1 Zr 0.172 0.328 0.000
2 Zr 0.328 0.828 0.000
3 Zr 0.672 0.172 0.000
4 Zr 0.828 0.672 0.000
5 Re 0.000 0.000 0.500
6 Re 0.500 0.500 0.500
7 Ge 0.135 0.635 0.500
8 Ge 0.365 0.135 0.500
9 Ge 0.635 0.865 0.500
10 Ge 0.865 0.365 0.500

---

[8]
The following is a PBE calculation of a relaxed structure of ZrReGe, from Alexandria via LeMat-Bulk.

Calculated values
Calculated volume (Å³ per cell): 213.0
M_tot (μB per formula unit): 0.000
ΔE to the lowest computed polymorph (eV/atom): 0.434
VASP energy (eV for the cell shown): -101.99
E_form (eV/atom): 0.04

abc: 7.883 7.883 9.210
angles: 90.26 90.26 21.85
Element x y z (fractional)
1 Zr 0.046 0.046 0.374
2 Zr 0.440 0.440 0.132
3 Zr 0.560 0.560 0.868
4 Zr 0.954 0.954 0.626
5 Re 0.221 0.221 0.373
6 Re 0.228 0.228 0.875
7 Re 0.772 0.772 0.125
8 Re 0.779 0.779 0.627
9 Ge 0.129 0.129 0.115
10 Ge 0.139 0.139 0.632
11 Ge 0.861 0.861 0.368
12 Ge 0.871 0.871 0.885

---

[9]
The following is a PBE calculation of a relaxed structure of GeRh2, from Alexandria via LeMat-Bulk.

Calculated values
Calculated volume (Å³ per cell): 171.7
M_tot (μB per formula unit): 0.000
VASP energy (eV for the cell shown): -82.87
E_form (eV/atom): -0.47

abc: 5.520 4.062 7.659
angles: 90.00 90.00 90.00
Element x y z (fractional)
1 Ge 0.213 0.250 0.103
2 Ge 0.287 0.750 0.603
3 Ge 0.713 0.250 0.397
4 Ge 0.787 0.750 0.897
5 Rh 0.028 0.250 0.795
6 Rh 0.163 0.250 0.430
7 Rh 0.337 0.750 0.930
8 Rh 0.472 0.750 0.295
9 Rh 0.528 0.250 0.705
10 Rh 0.663 0.250 0.070
11 Rh 0.837 0.750 0.570
12 Rh 0.972 0.750 0.205

---

[10]
The following is a PBE calculation of a relaxed structure of Ge4Rh3, from Alexandria via LeMat-Bulk.

Calculated values
Calculated volume (Å³ per cell): 251.4
M_tot (μB per formula unit): 0.000
VASP energy (eV for the cell shown): -82.95
E_form (eV/atom): -0.14

abc: 6.366 6.366 6.366
angles: 82.18 82.18 82.18
Element x y z (fractional)
1 Ge 0.207 0.207 0.207
2 Ge 0.250 0.742 0.742
3 Ge 0.258 0.258 0.750
4 Ge 0.258 0.750 0.258
5 Ge 0.742 0.250 0.742
6 Ge 0.742 0.742 0.250
7 Ge 0.750 0.258 0.258
8 Ge 0.793 0.793 0.793
9 Rh 0.000 0.000 0.000
10 Rh 0.000 0.000 0.500
11 Rh 0.000 0.500 0.000
12 Rh 0.391 0.391 0.391
13 Rh 0.500 0.000 0.000
14 Rh 0.609 0.609 0.609

---

[11]
The following is a PBE calculation of a relaxed structure of GeRh3, from Alexandria via LeMat-Bulk.

Calculated values
Calculated volume (Å³ per cell): 114.2
M_tot (μB per formula unit): 0.000
VASP energy (eV for the cell shown): -55.16
E_form (eV/atom): -0.23

abc: 5.501 5.501 4.357
angles: 90.00 90.00 120.00
Element x y z (fractional)
1 Ge 0.333 0.667 0.250
2 Ge 0.667 0.333 0.750
3 Rh 0.167 0.334 0.750
4 Rh 0.167 0.833 0.750
5 Rh 0.334 0.167 0.250
6 Rh 0.666 0.833 0.750
7 Rh 0.833 0.167 0.250
8 Rh 0.833 0.666 0.250

---

[12]
The following is a PBE calculation of a relaxed structure of GeRh3, from Alexandria via LeMat-Bulk.

Calculated values
Calculated volume (Å³ per cell): 114.7
M_tot (μB per formula unit): 0.000
VASP energy (eV for the cell shown): -55.00
E_form (eV/atom): -0.21

abc: 2.799 8.687 4.718
angles: 90.00 90.00 90.00
Element x y z (fractional)
1 Ge 0.000 0.000 0.000
2 Ge 0.500 0.500 0.500
3 Rh 0.000 0.270 0.654
4 Rh 0.000 0.500 0.042
5 Rh 0.000 0.730 0.654
6 Rh 0.500 0.000 0.542
7 Rh 0.500 0.230 0.154
8 Rh 0.500 0.770 0.154